No. 1
The following is a PBE calculation of a relaxed In2CoMo crystal, from Alexandria.

Calculated values
magnetization: 1.08 μB per formula unit
excess energy over the best structure of this formula in the dataset: 10.7 kJ per mole of atoms
space group: No. 8
D(E_F): 3.14 states/eV per cell
energy relative to the elements: 0.328 eV per atom

a = 5.461 Å, b = 5.461 Å, c = 4.850 Å
α = 110.55°, β = 110.55°, γ = 31.45°
Element x y z (fractional)
In (0.000, 0.000, 0.000)
In (0.213, 0.213, 0.633)
Co (0.753, 0.753, 0.148)
Mo (0.451, 0.451, 0.466)

---

No. 2
The following is a PBE calculation of a relaxed ZrAgSb2 crystal, from Alexandria.

Calculated values
magnetization: 0.00 μB per formula unit
space group: No. 160
ΔE_f (raw): 78 meV per atom
D(E_F): 5.33 states/eV per cell

a = 10.767 Å, b = 10.767 Å, c = 10.767 Å
α = 17.50°, β = 17.50°, γ = 17.50°
Element x y z (fractional)
Zr (0.000, 0.000, 0.000)
Ag (0.741, 0.741, 0.741)
Sb (0.256, 0.256, 0.256)
Sb (0.483, 0.483, 0.483)